# LaSb3Pb | the Alexandria database | SCAN | PBEsol geometry
# Uncorrected formation energy (meV/atom): 267
# Volume (Å³ per atom): 35.10
# Total DFT energy (no corrections) (eV per atom): -45.87
# Total moment (μB/f.u.): 0.00
# D(E_F) (states/eV per atom): 0.89
data_LaSb3Pb
_chemical_formula_sum 'La1 Sb3 Pb1'
_cell_length_a 5.599
_cell_length_b 5.599
_cell_length_c 5.599
_cell_angle_alpha 90.00
_cell_angle_beta 90.00
_cell_angle_gamma 90.00
_symmetry_space_group_name_H-M 'P m -3 m'
_symmetry_Int_Tables_number 221
_symmetry_space_group_name_Hall '-P 4 2 3'
loop_
_atom_site_label
_atom_site_type_symbol
_atom_site_fract_x
_atom_site_fract_y
_atom_site_fract_z
La1 La 0.000 0.000 0.000
Sb1 Sb 0.000 0.500 0.500
Pb1 Pb 0.500 0.500 0.500

***

# NaNbZnTe2 | the Alexandria database | SCAN | PBEsol geometry
# Uncorrected formation energy (meV/atom): 1145
# Volume (Å³ per atom): 28.48
# Total DFT energy (no corrections) (eV per atom): -23.93
# Total moment (μB/f.u.): 2.36
# D(E_F) (states/eV per atom): 0.42
data_NaNbZnTe2
_chemical_formula_sum 'Na1 Nb1 Zn1 Te2'
_cell_length_a 5.255
_cell_length_b 5.255
_cell_length_c 5.157
_cell_angle_alpha 90.00
_cell_angle_beta 90.00
_cell_angle_gamma 90.00
_symmetry_space_group_name_H-M 'P 4/m m m'
_symmetry_Int_Tables_number 123
_symmetry_space_group_name_Hall '-P 4 2'
loop_
_atom_site_label
_atom_site_type_symbol
_atom_site_fract_x
_atom_site_fract_y
_atom_site_fract_z
Na1 Na 0.000 0.000 0.000
Nb1 Nb 0.000 0.000 0.500
Zn1 Zn 0.500 0.500 0.500
Te1 Te 0.000 0.500 0.000

***

# TaInPb2 | the Alexandria database | SCAN | PBEsol geometry
# Volume (Å³ per atom): 23.11
# Total DFT energy (no corrections) (eV per atom): -62.31
# Total moment (μB/f.u.): 0.00
# D(E_F) (states/eV per atom): 0.54
data_TaInPb2
_chemical_formula_sum 'Ta2 In2 Pb4'
_cell_length_a 3.781
_cell_length_b 5.028
_cell_length_c 9.726
_cell_angle_alpha 90.00
_cell_angle_beta 90.00
_cell_angle_gamma 90.00
_symmetry_space_group_name_H-M 'I m m 2'
_symmetry_Int_Tables_number 44
_symmetry_space_group_name_Hall 'I 2 -2'
loop_
_atom_site_label
_atom_site_type_symbol
_atom_site_fract_x
_atom_site_fract_y
_atom_site_fract_z
Ta1 Ta 0.000 0.000 0.000
In1 In 0.000 0.500 0.731
Pb1 Pb 0.000 0.000 0.487
Pb2 Pb 0.000 0.500 0.256

***

# YSc2TlGa | the Alexandria database | SCAN | PBEsol geometry
# Volume (Å³ per atom): 28.77
# Total DFT energy (no corrections) (eV per atom): -28.63
# Total moment (μB/f.u.): 1.31
# D(E_F) (states/eV per atom): 1.33
data_YSc2TlGa
_chemical_formula_sum 'Y1 Sc2 Tl1 Ga1'
_cell_length_a 5.332
_cell_length_b 5.332
_cell_length_c 5.061
_cell_angle_alpha 90.00
_cell_angle_beta 90.00
_cell_angle_gamma 90.00
_symmetry_space_group_name_H-M 'P 4/m m m'
_symmetry_Int_Tables_number 123
_symmetry_space_group_name_Hall '-P 4 2'
loop_
_atom_site_label
_atom_site_type_symbol
_atom_site_fract_x
_atom_site_fract_y
_atom_site_fract_z
Y1 Y 0.000 0.000 0.000
Sc1 Sc 0.000 0.500 0.500
Tl1 Tl 0.500 0.500 0.500
Ga1 Ga 0.500 0.500 0.000

***

# Ca3P4Rh13 | the Alexandria database | SCAN | PBEsol geometry
# Volume (Å³ per atom): 15.52
# Total DFT energy (no corrections) (eV per atom): -26.11
# Total moment (μB/f.u.): 0.00
# D(E_F) (states/eV per atom): 0.52
data_Ca3P4Rh13
_chemical_formula_sum 'Ca6 P8 Rh26'
_cell_length_a 8.530
_cell_length_b 8.530
_cell_length_c 8.530
_cell_angle_alpha 90.00
_cell_angle_beta 90.00
_cell_angle_gamma 90.00
_symmetry_space_group_name_H-M 'P m -3 n'
_symmetry_Int_Tables_number 223
_symmetry_space_group_name_Hall '-P 4n 2 3'
loop_
_atom_site_label
_atom_site_type_symbol
_atom_site_fract_x
_atom_site_fract_y
_atom_site_fract_z
Ca1 Ca 0.000 0.250 0.500
P1 P 0.250 0.250 0.250
Rh1 Rh 0.000 0.000 0.000
Rh2 Rh 0.000 0.272 0.157

***

# Ca2MgMn | the Alexandria database | SCAN | PBEsol geometry
# Volume (Å³ per atom): 25.79
# Total DFT energy (no corrections) (eV per atom): -10.54
# Total moment (μB/f.u.): 4.66
# D(E_F) (states/eV per atom): 0.50
data_Ca2MgMn
_chemical_formula_sum 'Ca8 Mg4 Mn4'
_cell_length_a 7.445
_cell_length_b 7.445
_cell_length_c 7.445
_cell_angle_alpha 90.00
_cell_angle_beta 90.00
_cell_angle_gamma 90.00
_symmetry_space_group_name_H-M 'F -4 3 m'
_symmetry_Int_Tables_number 216
_symmetry_space_group_name_Hall 'F -4 2 3'
loop_
_atom_site_label
_atom_site_type_symbol
_atom_site_fract_x
_atom_site_fract_y
_atom_site_fract_z
Ca1 Ca 0.000 0.000 0.000
Ca2 Ca 0.250 0.250 0.250
Mg1 Mg 0.000 0.000 0.500
Mn1 Mn 0.250 0.250 0.750

***

# Rb2ScTlI6 | the Alexandria database | SCAN | PBEsol geometry
# Uncorrected formation energy (meV/atom): -1298
# Volume (Å³ per atom): 44.97
# Total DFT energy (no corrections) (eV per atom): -36.15
# Total moment (μB/f.u.): 0.00
# D(E_F) (states/eV per atom): 0.00
data_Rb2ScTlI6
_chemical_formula_sum 'Rb8 Sc4 Tl4 I24'
_cell_length_a 12.161
_cell_length_b 12.161
_cell_length_c 12.161
_cell_angle_alpha 90.00
_cell_angle_beta 90.00
_cell_angle_gamma 90.00
_symmetry_space_group_name_H-M 'F m -3 m'
_symmetry_Int_Tables_number 225
_symmetry_space_group_name_Hall '-F 4 2 3'
loop_
_atom_site_label
_atom_site_type_symbol
_atom_site_fract_x
_atom_site_fract_y
_atom_site_fract_z
Rb1 Rb 0.250 0.250 0.250
Sc1 Sc 0.000 0.000 0.000
Tl1 Tl 0.000 0.000 0.500
I1 I 0.000 0.000 0.234

***

# FeSbTe2I | the Alexandria database | SCAN | PBEsol geometry
# Uncorrected formation energy (meV/atom): 876
# Volume (Å³ per atom): 37.01
# Total DFT energy (no corrections) (eV per atom): -32.45
# Total moment (μB/f.u.): 3.93
# D(E_F) (states/eV per atom): 1.01
data_FeSbTe2I
_chemical_formula_sum 'Fe1 Sb1 Te2 I1'
_cell_length_a 5.680
_cell_length_b 5.680
_cell_length_c 5.735
_cell_angle_alpha 90.00
_cell_angle_beta 90.00
_cell_angle_gamma 90.00
_symmetry_space_group_name_H-M 'P 4/m m m'
_symmetry_Int_Tables_number 123
_symmetry_space_group_name_Hall '-P 4 2'
loop_
_atom_site_label
_atom_site_type_symbol
_atom_site_fract_x
_atom_site_fract_y
_atom_site_fract_z
Fe1 Fe 0.000 0.000 0.000
Sb1 Sb 0.500 0.500 0.500
Te1 Te 0.000 0.500 0.500
I1 I 0.500 0.500 0.000